# Mg3Ag5F12 | Alexandria | PBE-GGA | optimized geometry
# Energy relative to the elements, uncorrected: -1.995 eV/atom
# Uncorrected energy: -0.14957 hartree per atom
# DOS at the Fermi energy: 87.03 states/eV/cell
# Relative energy among the computed polymorphs: 0.140 eV per atom
data_Mg3Ag5F12
_cell_length_a 14.078
_cell_length_b 14.078
_cell_length_c 14.078
_cell_angle_alpha 90.00
_cell_angle_beta 90.00
_cell_angle_gamma 90.00
_space_group_name_H-M_alt 'I a -3 d'
_space_group_IT_number 230
_space_group_name_Hall '-I 4bd 2c 3'
loop_
_atom_site_label
_atom_site_fract_x
_atom_site_fract_y
_atom_site_fract_z
Mg1 0.000 0.250 0.125
Ag1 0.000 0.000 0.000
Ag2 0.000 0.250 0.375
F1 0.023 0.160 0.527

---

# Mg2Ag4F9 | Alexandria | PBE-GGA | optimized geometry
# Energy relative to the elements, uncorrected: -2.003 eV/atom
# Uncorrected energy: -0.15061 hartree per atom
# DOS at the Fermi energy: 17.81 states/eV/cell
data_Mg2Ag4F9
_cell_length_a 5.808
_cell_length_b 5.808
_cell_length_c 15.324
_cell_angle_alpha 95.52
_cell_angle_beta 90.14
_cell_angle_gamma 119.90
_space_group_name_H-M_alt 'P -1'
_space_group_IT_number 2
loop_
_space_group_symop_operation_xyz
'x,y,z'
'-x,-y,-z'
loop_
_atom_site_label
_atom_site_fract_x
_atom_site_fract_y
_atom_site_fract_z
Mg1 0.009 0.486 0.154
Mg2 0.023 0.513 0.346
Ag1 0.287 0.138 0.520
Ag2 0.319 0.179 0.812
Ag3 0.351 0.137 0.020
Ag4 0.360 0.177 0.312
F1 0.012 0.762 0.254
F2 0.021 0.827 0.919
F3 0.044 0.231 0.400
F4 0.249 0.762 0.754
F5 0.262 0.500 0.250
F6 0.287 0.486 0.598
F7 0.301 0.514 0.902
F8 0.306 0.827 0.420
F9 0.313 0.769 0.101

---

# Mg2Ag5F12 | Alexandria | PBE-GGA | optimized geometry
# Energy relative to the elements, uncorrected: -1.846 eV/atom
# Uncorrected energy: -0.14500 hartree per atom
# DOS at the Fermi energy: 18.22 states/eV/cell
data_Mg2Ag5F12
_cell_length_a 12.529
_cell_length_b 6.106
_cell_length_c 7.574
_cell_angle_alpha 90.00
_cell_angle_beta 104.68
_cell_angle_gamma 90.00
_space_group_name_H-M_alt 'C 1 2/m 1'
_space_group_IT_number 12
loop_
_space_group_symop_operation_xyz
'x,y,z'
'-x,-y,-z'
'-x,y,-z'
'x,-y,z'
'x+1/2,y+1/2,z'
'-x+1/2,-y+1/2,-z'
'-x+1/2,y+1/2,-z'
'x+1/2,-y+1/2,z'
loop_
_atom_site_label
_atom_site_fract_x
_atom_site_fract_y
_atom_site_fract_z
Mg1 0.000 0.242 0.000
Ag1 0.000 0.000 0.500
Ag2 0.167 0.500 0.364
Ag3 0.206 0.500 0.826
F1 0.028 0.500 0.847
F2 0.033 0.000 0.849
F3 0.131 0.245 0.541
F4 0.161 0.263 0.144

---

# Mg2AgF | Alexandria | PBE-GGA | optimized geometry
# Energy relative to the elements, uncorrected: -0.739 eV/atom
# Uncorrected energy: -0.09984 hartree per atom
# DOS at the Fermi energy: 5.00 states/eV/cell
# Relative energy among the computed polymorphs: 0.385 eV per atom
data_Mg2AgF
_cell_length_a 6.580
_cell_length_b 6.580
_cell_length_c 6.580
_cell_angle_alpha 90.00
_cell_angle_beta 90.00
_cell_angle_gamma 90.00
_space_group_name_H-M_alt 'F m -3 m'
_space_group_IT_number 225
_space_group_name_Hall '-F 4 2 3'
loop_
_atom_site_label
_atom_site_fract_x
_atom_site_fract_y
_atom_site_fract_z
Mg1 0.250 0.250 0.250
Ag1 0.000 0.000 0.000
F1 0.000 0.000 0.500

---

- Which of these has the lowest energy relative to the elements, uncorrected?
  Mg2Ag4F9